1.
The following is a PBE calculation of an optimized crystal structure of RePdSN2, from Alexandria via LeMat-Bulk.

Lattice parameters (Å, degrees): 3.7819 3.7819 5.1585 90.00 90.00 90.00
Last column: nearest neighbours and their distance in Å.
Space group P4/mmm (No. 123)
Asymmetric unit:
Re 0.0000 0.0000 0.0000  4 N 1.89
Pd 0.5000 0.5000 0.5000  4 S 2.67
S 0.0000 0.0000 0.5000  2 Re 2.58, 4 Pd 2.67
N 0.0000 0.5000 0.0000  2 Re 1.89

Output
Raw formation energy in eV/f.u.: 2.7
Excess energy over the best structure of this formula in the dataset in eV/atom: 0.000
Density of states at the Fermi level in states/eV/cell: 3.3
Total moment in μB/f.u.: 0.0

***

2.
The following is a PBE calculation of an optimized crystal structure of RePdSN2, from Alexandria via LeMat-Bulk.

Lattice parameters (Å, degrees): 3.9118 3.9118 4.8630 90.00 90.00 90.00
Last column: nearest neighbours and their distance in Å.
Space group P4/mmm (No. 123)
Asymmetric unit:
Re 0.0000 0.0000 0.0000  4 S 2.77
Pd 0.5000 0.5000 0.5000  4 N 1.96
S 0.5000 0.5000 0.0000  2 Pd 2.43
N 0.0000 0.5000 0.5000  2 Pd 1.96

Output
Raw formation energy in eV/f.u.: 10.2
Excess energy over the best structure of this formula in the dataset in eV/atom: 1.494
Density of states at the Fermi level in states/eV/cell: 3.4
Total moment in μB/f.u.: 1.3

***

3.
The following is a PBE calculation of an optimized crystal structure of ReSiPd2N, from Alexandria via LeMat-Bulk.

Lattice parameters (Å, degrees): 4.1408 4.1408 3.8844 90.00 90.00 90.00
Last column: nearest neighbours and their distance in Å.
Space group P4/mmm (No. 123)
Asymmetric unit:
Re 0.0000 0.0000 0.0000  8 Pd 2.84, 4 Si 2.93
Si 0.5000 0.5000 0.0000  2 N 1.94
Pd 0.0000 0.5000 0.5000  2 N 2.07
N 0.5000 0.5000 0.5000  2 Si 1.94, 4 Pd 2.07

Output
Raw formation energy in eV/f.u.: 3.5
Density of states at the Fermi level in states/eV/cell: 2.1
Total moment in μB/f.u.: 0.0

***

4.
The following is a PBE calculation of an optimized crystal structure of V2RePdN, from Alexandria via LeMat-Bulk.

Lattice parameters (Å, degrees): 3.9767 3.9767 3.9972 90.00 90.00 90.00
Last column: nearest neighbours and their distance in Å.
Space group P4/mmm (No. 123)
Asymmetric unit:
V 0.0000 0.5000 0.0000  2 N 1.99
Re 0.0000 0.0000 0.5000  2 N 2.00
Pd 0.5000 0.5000 0.5000  4 Re 2.81, 8 V 2.82
N 0.0000 0.0000 0.0000  4 V 1.99, 2 Re 2.00

Output
Raw formation energy in eV/f.u.: -1.8
Density of states at the Fermi level in states/eV/cell: 5.0
Total moment in μB/f.u.: 0.0